This record from Alexandria via LeMat-Bulk describes a relaxed Tl2CoBr crystal. The functional is PBE.

a b c (Å): 5.475 5.482 3.308
angles (deg): 90.00 90.00 90.00
Atoms (fractional coordinates):
Br 0.500 0.000 0.500
Co 0.000 0.500 0.500
Tl 0.000 0.000 0.000
Tl 0.500 0.500 0.000

Summary:
**Energy relative to the lowest polymorph listed for this composition**: 0.1952 eV per atom
**E_tot**: -12.2 eV/cell
**Energy relative to the elements, uncorrected**: 0.33 eV/atom